# Y4Ho2N | Alexandria via LeMat-Bulk | PBE | optimized geometry
# Total magnetic moment (μB per formula unit): 0.0
# Uncorrected formation energy (eV/atom): -0.25
data_Y4Ho2N
_chemical_formula_sum 'Y4 Ho2 N1'
_symmetry_space_group_name_H-M 'P 1'
_symmetry_Int_Tables_number 1
_cell_length_a 9.472
_cell_length_b 9.472
_cell_length_c 9.472
_cell_angle_alpha 150.75
_cell_angle_beta 150.75
_cell_angle_gamma 41.84
loop_
_symmetry_equiv_pos_as_xyz
'x,y,z'
loop_
_atom_site_label
_atom_site_type_symbol
_atom_site_fract_x
_atom_site_fract_y
_atom_site_fract_z
_atom_site_occupancy
Y1 Y 0.000 0.500 0.500 1
Y2 Y 0.134 0.134 0.000 1
Y3 Y 0.500 0.000 0.500 1
Y4 Y 0.866 0.866 0.000 1
Ho1 Ho 0.331 0.331 0.000 1
Ho2 Ho 0.669 0.669 0.000 1
N1 N 0.000 0.000 0.000 1

---

# Y4HoN5 | Alexandria via LeMat-Bulk | PBE | optimized geometry
# Total magnetic moment (μB per formula unit): 0.0
# Uncorrected formation energy (eV/atom): -1.70
data_Y4HoN5
_chemical_formula_sum 'Y4 Ho1 N5'
_symmetry_space_group_name_H-M 'P 1'
_symmetry_Int_Tables_number 1
_cell_length_a 12.520
_cell_length_b 12.520
_cell_length_c 12.520
_cell_angle_alpha 164.05
_cell_angle_beta 164.05
_cell_angle_gamma 22.63
loop_
_symmetry_equiv_pos_as_xyz
'x,y,z'
loop_
_atom_site_label
_atom_site_type_symbol
_atom_site_fract_x
_atom_site_fract_y
_atom_site_fract_z
_atom_site_occupancy
Y1 Y 0.100 0.100 0.000 1
Y2 Y 0.300 0.300 0.000 1
Y3 Y 0.700 0.700 0.000 1
Y4 Y 0.900 0.900 0.000 1
Ho1 Ho 0.500 0.500 0.000 1
N1 N 0.000 0.000 0.000 1
N2 N 0.200 0.200 0.000 1
N3 N 0.401 0.401 0.000 1
N4 N 0.599 0.599 0.000 1
N5 N 0.800 0.800 0.000 1

---

# Y3Ho2N4 | Alexandria via LeMat-Bulk | PBE | optimized geometry
# Total magnetic moment (μB per formula unit): 0.5
# Uncorrected formation energy (eV/atom): -1.51
data_Y3Ho2N4
_chemical_formula_sum 'Y3 Ho2 N4'
_symmetry_space_group_name_H-M 'P 1'
_symmetry_Int_Tables_number 1
_cell_length_a 3.484
_cell_length_b 3.484
_cell_length_c 14.409
_cell_angle_alpha 90.05
_cell_angle_beta 90.05
_cell_angle_gamma 60.00
loop_
_symmetry_equiv_pos_as_xyz
'x,y,z'
loop_
_atom_site_label
_atom_site_type_symbol
_atom_site_fract_x
_atom_site_fract_y
_atom_site_fract_z
_atom_site_occupancy
Y1 Y 0.000 0.000 0.000 1
Y2 Y 0.334 0.334 0.384 1
Y3 Y 0.666 0.666 0.616 1
Ho1 Ho 0.333 0.333 0.809 1
Ho2 Ho 0.667 0.667 0.191 1
N1 N 0.001 0.001 0.298 1
N2 N 0.334 0.334 0.101 1
N3 N 0.666 0.666 0.899 1
N4 N 0.999 0.999 0.702 1

---

# Y2Ho3N4 | Alexandria via LeMat-Bulk | PBE | optimized geometry
# Total magnetic moment (μB per formula unit): 0.0
# Uncorrected formation energy (eV/atom): -1.53
data_Y2Ho3N4
_chemical_formula_sum 'Y2 Ho3 N4'
_symmetry_space_group_name_H-M 'P 1'
_symmetry_Int_Tables_number 1
_cell_length_a 6.030
_cell_length_b 6.030
_cell_length_c 8.553
_cell_angle_alpha 118.39
_cell_angle_beta 118.39
_cell_angle_gamma 33.50
loop_
_symmetry_equiv_pos_as_xyz
'x,y,z'
loop_
_atom_site_label
_atom_site_type_symbol
_atom_site_fract_x
_atom_site_fract_y
_atom_site_fract_z
_atom_site_occupancy
Y1 Y 0.106 0.106 0.389 1
Y2 Y 0.894 0.894 0.611 1
Ho1 Ho 0.295 0.295 0.189 1
Ho2 Ho 0.500 0.500 0.000 1
Ho3 Ho 0.705 0.705 0.811 1
N1 N 0.103 0.103 0.903 1
N2 N 0.300 0.300 0.699 1
N3 N 0.700 0.700 0.301 1
N4 N 0.897 0.897 0.097 1

---

# Y5HoN6 | Alexandria via LeMat-Bulk | PBE | optimized geometry
# Total magnetic moment (μB per formula unit): 0.0
# Uncorrected formation energy (eV/atom): -1.70
data_Y5HoN6
_chemical_formula_sum 'Y5 Ho1 N6'
_symmetry_space_group_name_H-M 'P 1'
_symmetry_Int_Tables_number 1
_cell_length_a 6.016
_cell_length_b 6.016
_cell_length_c 6.016
_cell_angle_alpha 99.59
_cell_angle_beta 99.59
_cell_angle_gamma 120.01
loop_
_symmetry_equiv_pos_as_xyz
'x,y,z'
loop_
_atom_site_label
_atom_site_type_symbol
_atom_site_fract_x
_atom_site_fract_y
_atom_site_fract_z
_atom_site_occupancy
Y1 Y 0.000 0.000 0.000 1
Y2 Y 0.167 0.833 0.500 1
Y3 Y 0.334 0.666 0.000 1
Y4 Y 0.666 0.334 0.000 1
Y5 Y 0.833 0.167 0.500 1
Ho1 Ho 0.500 0.500 0.500 1
N1 N 0.085 0.417 0.251 1
N2 N 0.251 0.251 0.749 1
N3 N 0.417 0.085 0.251 1
N4 N 0.583 0.915 0.749 1
N5 N 0.749 0.749 0.251 1
N6 N 0.915 0.583 0.749 1

---

# Y2HoN2 | Alexandria via LeMat-Bulk | PBE | optimized geometry
# Total magnetic moment (μB per formula unit): 0.3
# Uncorrected formation energy (eV/atom): -1.34
data_Y2HoN2
_chemical_formula_sum 'Y2 Ho1 N2'
_symmetry_space_group_name_H-M 'P 1'
_symmetry_Int_Tables_number 1
_cell_length_a 9.011
_cell_length_b 9.011
_cell_length_c 9.011
_cell_angle_alpha 22.33
_cell_angle_beta 22.33
_cell_angle_gamma 22.33
loop_
_symmetry_equiv_pos_as_xyz
'x,y,z'
loop_
_atom_site_label
_atom_site_type_symbol
_atom_site_fract_x
_atom_site_fract_y
_atom_site_fract_z
_atom_site_occupancy
Y1 Y 0.230 0.230 0.230 1
Y2 Y 0.770 0.770 0.770 1
Ho1 Ho 0.000 0.000 0.000 1
N1 N 0.388 0.388 0.388 1
N2 N 0.612 0.612 0.612 1

---

# Y3HoN3 | Alexandria via LeMat-Bulk | PBE | optimized geometry
# Total magnetic moment (μB per formula unit): 0.0
# Uncorrected formation energy (eV/atom): -1.22
data_Y3HoN3
_chemical_formula_sum 'Y6 Ho2 N6'
_symmetry_space_group_name_H-M 'P 1'
_symmetry_Int_Tables_number 1
_cell_length_a 9.299
_cell_length_b 9.299
_cell_length_c 9.299
_cell_angle_alpha 38.49
_cell_angle_beta 38.49
_cell_angle_gamma 38.49
loop_
_symmetry_equiv_pos_as_xyz
'x,y,z'
loop_
_atom_site_label
_atom_site_type_symbol
_atom_site_fract_x
_atom_site_fract_y
_atom_site_fract_z
_atom_site_occupancy
Y1 Y 0.102 0.420 0.783 1
Y2 Y 0.217 0.898 0.580 1
Y3 Y 0.420 0.783 0.102 1
Y4 Y 0.580 0.217 0.898 1
Y5 Y 0.783 0.102 0.420 1
Y6 Y 0.898 0.580 0.217 1
Ho1 Ho 0.333 0.333 0.333 1
Ho2 Ho 0.667 0.667 0.667 1
N1 N 0.059 0.691 0.427 1
N2 N 0.309 0.573 0.941 1
N3 N 0.427 0.059 0.691 1
N4 N 0.573 0.941 0.309 1
N5 N 0.691 0.427 0.059 1
N6 N 0.941 0.309 0.573 1

---

# YHo5N6 | Alexandria via LeMat-Bulk | PBE | optimized geometry
# Total magnetic moment (μB per formula unit): 0.0
# Uncorrected formation energy (eV/atom): -1.74
data_YHo5N6
_chemical_formula_sum 'Y1 Ho5 N6'
_symmetry_space_group_name_H-M 'P 1'
_symmetry_Int_Tables_number 1
_cell_length_a 5.984
_cell_length_b 5.984
_cell_length_c 5.983
_cell_angle_alpha 99.59
_cell_angle_beta 99.59
_cell_angle_gamma 120.01
loop_
_symmetry_equiv_pos_as_xyz
'x,y,z'
loop_
_atom_site_label
_atom_site_type_symbol
_atom_site_fract_x
_atom_site_fract_y
_atom_site_fract_z
_atom_site_occupancy
Y1 Y 0.000 0.000 0.000 1
Ho1 Ho 0.167 0.833 0.500 1
Ho2 Ho 0.333 0.667 0.000 1
Ho3 Ho 0.500 0.500 0.500 1
Ho4 Ho 0.667 0.333 0.000 1
Ho5 Ho 0.833 0.167 0.500 1
N1 N 0.084 0.418 0.251 1
N2 N 0.251 0.251 0.749 1
N3 N 0.418 0.084 0.251 1
N4 N 0.582 0.916 0.749 1
N5 N 0.749 0.749 0.251 1
N6 N 0.916 0.582 0.749 1

---

# Y4HoN4 | Alexandria via LeMat-Bulk | PBE | optimized geometry
# Total magnetic moment (μB per formula unit): 0.0
# Uncorrected formation energy (eV/atom): -1.50
data_Y4HoN4
_chemical_formula_sum 'Y4 Ho1 N4'
_symmetry_space_group_name_H-M 'P 1'
_symmetry_Int_Tables_number 1
_cell_length_a 6.049
_cell_length_b 6.049
_cell_length_c 6.049
_cell_angle_alpha 99.55
_cell_angle_beta 99.55
_cell_angle_gamma 131.93
loop_
_symmetry_equiv_pos_as_xyz
'x,y,z'
loop_
_atom_site_label
_atom_site_type_symbol
_atom_site_fract_x
_atom_site_fract_y
_atom_site_fract_z
_atom_site_occupancy
Y1 Y 0.109 0.689 0.798 1
Y2 Y 0.311 0.109 0.420 1
Y3 Y 0.689 0.891 0.580 1
Y4 Y 0.891 0.311 0.202 1
Ho1 Ho 0.500 0.500 0.000 1
N1 N 0.204 0.402 0.606 1
N2 N 0.402 0.796 0.198 1
N3 N 0.598 0.204 0.802 1
N4 N 0.796 0.598 0.394 1

---

# Y3HoN3 | Alexandria via LeMat-Bulk | PBE | optimized geometry
# Total magnetic moment (μB per formula unit): 0.0
# Uncorrected formation energy (eV/atom): -1.31
data_Y3HoN3
_chemical_formula_sum 'Y6 Ho2 N6'
_symmetry_space_group_name_H-M 'P 1'
_symmetry_Int_Tables_number 1
_cell_length_a 8.001
_cell_length_b 8.001
_cell_length_c 4.989
_cell_angle_alpha 90.00
_cell_angle_beta 90.00
_cell_angle_gamma 120.00
loop_
_symmetry_equiv_pos_as_xyz
'x,y,z'
loop_
_atom_site_label
_atom_site_type_symbol
_atom_site_fract_x
_atom_site_fract_y
_atom_site_fract_z
_atom_site_occupancy
Y1 Y 0.164 0.329 0.250 1
Y2 Y 0.164 0.836 0.250 1
Y3 Y 0.329 0.164 0.750 1
Y4 Y 0.671 0.836 0.250 1
Y5 Y 0.836 0.164 0.750 1
Y6 Y 0.836 0.671 0.750 1
Ho1 Ho 0.333 0.667 0.750 1
Ho2 Ho 0.667 0.333 0.250 1
N1 N 0.166 0.333 0.750 1
N2 N 0.166 0.834 0.750 1
N3 N 0.333 0.166 0.250 1
N4 N 0.667 0.834 0.750 1
N5 N 0.834 0.166 0.250 1
N6 N 0.834 0.667 0.250 1

---

# Y3HoZr2N6 | Alexandria via LeMat-Bulk | PBE | optimized geometry
# Total magnetic moment (μB per formula unit): 0.0
# Uncorrected formation energy (eV/atom): -1.72
data_Y3HoZr2N6
_chemical_formula_sum 'Y3 Ho1 Zr2 N6'
_symmetry_space_group_name_H-M 'P 1'
_symmetry_Int_Tables_number 1
_cell_length_a 7.580
_cell_length_b 7.580
_cell_length_c 6.797
_cell_angle_alpha 103.17
_cell_angle_beta 103.17
_cell_angle_gamma 25.79
loop_
_symmetry_equiv_pos_as_xyz
'x,y,z'
loop_
_atom_site_label
_atom_site_type_symbol
_atom_site_fract_x
_atom_site_fract_y
_atom_site_fract_z
_atom_site_occupancy
Y1 Y 0.000 0.000 0.000 1
Y2 Y 0.333 0.333 0.667 1
Y3 Y 0.667 0.667 0.333 1
Ho1 Ho 0.000 0.000 0.500 1
Zr1 Zr 0.333 0.333 0.166 1
Zr2 Zr 0.667 0.667 0.834 1
N1 N 0.167 0.167 0.598 1
N2 N 0.171 0.171 0.074 1
N3 N 0.494 0.494 0.248 1
N4 N 0.506 0.506 0.752 1
N5 N 0.829 0.829 0.926 1
N6 N 0.833 0.833 0.402 1

---

# YHo3Zr2N6 | Alexandria via LeMat-Bulk | PBE | optimized geometry
# Total magnetic moment (μB per formula unit): 0.0
# Uncorrected formation energy (eV/atom): -1.74
data_YHo3Zr2N6
_chemical_formula_sum 'Y1 Ho3 Zr2 N6'
_symmetry_space_group_name_H-M 'P 1'
_symmetry_Int_Tables_number 1
_cell_length_a 7.558
_cell_length_b 7.558
_cell_length_c 6.777
_cell_angle_alpha 103.08
_cell_angle_beta 103.08
_cell_angle_gamma 25.81
loop_
_symmetry_equiv_pos_as_xyz
'x,y,z'
loop_
_atom_site_label
_atom_site_type_symbol
_atom_site_fract_x
_atom_site_fract_y
_atom_site_fract_z
_atom_site_occupancy
Y1 Y 0.000 0.000 0.000 1
Ho1 Ho 0.000 0.000 0.500 1
Ho2 Ho 0.333 0.333 0.167 1
Ho3 Ho 0.667 0.667 0.833 1
Zr1 Zr 0.333 0.333 0.665 1
Zr2 Zr 0.667 0.667 0.335 1
N1 N 0.168 0.168 0.097 1
N2 N 0.171 0.171 0.575 1
N3 N 0.494 0.494 0.745 1
N4 N 0.506 0.506 0.255 1
N5 N 0.829 0.829 0.425 1
N6 N 0.832 0.832 0.903 1